Material: MoS2N
Method: DFT, GGA-PBE
State: optimized geometry

Output
Size of the total moment, Bohr magnetons per cell: 0.00
Energy, Ha/atom: -0.2260
SG: P6_3/mmc (194)

Geometry as CIF:
```
data_MoS2N
_space_group_name_H-M_alt 'P 1'
_space_group_IT_number 1
_space_group_name_Hall 'P 1'
_cell_length_a 3.0626
_cell_length_b 3.0626
_cell_length_c 12.4003
_cell_angle_alpha 90.00
_cell_angle_beta 90.00
_cell_angle_gamma 120.00
loop_
_atom_site_label
_atom_site_type_symbol
_atom_site_fract_x
_atom_site_fract_y
_atom_site_fract_z
S1 S 0.3333 0.6667 0.3858
S2 S 0.6667 0.3333 0.6142
S3 S 0.6667 0.3333 0.8858
S4 S 0.3333 0.6667 0.1142
Mo1 Mo 0.3333 0.6667 0.7500
Mo2 Mo 0.6667 0.3333 0.2500
N1 N 0.0000 0.0000 0.5000
N2 N 0.0000 0.0000 0.0000
```